Record 1
A plane-wave DFT calculation with PBE was carried out for a relaxed structure of TiFeP.

Output
Energy of formation from the pure elements, eV/f.u.: -3.1
V, Å³/atom: 12.34

Lattice parameters (Å, degrees): 6.049 3.563 10.307 90.00 90.41 90.00
Space group P2_1/m (No. 11)
Inequivalent atoms, fractional coordinates:
Ti 0.016 0.250 0.207 (multiplicity 2)
Ti 0.346 0.750 0.578 (multiplicity 2)
Ti 0.478 0.750 0.880 (multiplicity 2)
Fe 0.009 0.250 0.589 (multiplicity 2)
Fe 0.147 0.250 0.961 (multiplicity 2)
Fe 0.356 0.750 0.295 (multiplicity 2)
P 0.228 0.750 0.080 (multiplicity 2)
P 0.237 0.250 0.412 (multiplicity 2)
P 0.273 0.250 0.751 (multiplicity 2)



Record 2
A plane-wave DFT calculation with PBE was carried out for a relaxed structure of K3LaTm2S6.

Output
V, Å³/atom: 26.78
Energy relative to the elements, uncorrected, eV/f.u.: -22.69

Lattice parameters (Å, degrees): 7.095 12.290 7.742 90.00 107.83 90.00
Space group C2/m (No. 12)
Inequivalent atoms, fractional coordinates:
K 0.000 0.000 0.000 (multiplicity 2)
K 0.000 0.335 0.000 (multiplicity 4)
La 0.000 0.500 0.500 (multiplicity 2)
Tm 0.000 0.167 0.500 (multiplicity 4)
S 0.219 0.000 0.702 (multiplicity 4)
S 0.242 0.326 0.702 (multiplicity 8)



Record 3
A plane-wave DFT calculation with PBE was carried out for a relaxed structure of CoAs.

Output
Energy of formation from the pure elements, eV/f.u.: 0.2
V, Å³/atom: 17.96

Lattice parameters (Å, degrees): 5.238 5.238 5.238 90.00 90.00 90.00
Space group F-43m (No. 216)
Inequivalent atoms, fractional coordinates:
Co 0.000 0.000 0.000 (multiplicity 4)
As 0.250 0.250 0.250 (multiplicity 4)



Record 4
A plane-wave DFT calculation with PBE was carried out for a relaxed structure of PmPuPd2.

Output
Energy of formation from the pure elements, eV/f.u.: -1.9
V, Å³/atom: 25.19
Excess energy over the best structure of this formula in the dataset, eV per atom: 0.103

Lattice parameters (Å, degrees): 4.2032 4.2032 19.7576 90.00 90.00 120.00
Space group R-3m (No. 166, hexagonal axes)
Inequivalent atoms, fractional coordinates:
Pm 0.0000 0.0000 0.0000 (multiplicity 3)
Pu 0.0000 0.0000 0.5000 (multiplicity 3)
Pd 0.0000 0.0000 0.2457 (multiplicity 6)



The DOS(E_F) results, record by record, are as follows: 15.836 0.000 5.827 44.472 states/eV/cell.
The ρ results, record by record, are as follows: 6.0 4.1 6.2 9.9 g/cm3.
The magnetic moment results, record by record, are as follows: 3.43 0.00 0.00 16.35 Bohr magnetons per cell.